Compound: HoAl9Fe2
Source: Alexandria via LeMat-Bulk
Functional: PBE
Structure: optimized geometry

Geometry as POSCAR:
```
HoAl9Fe2
1.0
-5.299 5.299 3.363
5.299 -5.299 3.363
5.299 5.299 -3.363
Ho Al Fe
2 18 4
Cartesian
5.299 2.649 0.841
0.000 2.649 2.522
5.299 -2.649 2.522
4.002 -0.555 1.284
6.596 -0.555 1.284
2.094 1.352 0.398
8.504 1.352 0.398
4.002 4.744 -1.284
1.297 -0.555 2.080
2.094 3.947 0.398
3.205 -1.352 3.761
2.094 6.651 -0.398
3.205 1.352 2.965
4.002 5.854 1.284
1.297 0.555 4.647
-3.205 3.947 2.965
3.205 3.947 2.965
-1.297 5.854 2.080
1.297 5.854 2.080
0.000 7.948 0.841
0.000 0.000 0.000
2.649 2.649 -1.682
2.649 -2.649 1.682
0.000 5.299 0.000
```

## Properties
Electronic total energy = -4.90 eV/atom
Space-group type = I4_1/amd (141)
Energy of formation = -298 meV/atom